[1]
Compound: SrIn3Au2
Source: the Alexandria database
Functional: GGA-PBE
Structure: optimized geometry

Structure (POSCAR):
```
SrIn3Au2
1.0
-1.4220 4.1769 -1.1325
-3.5552 -5.3725 -6.1889
-4.0323 0.7958 7.9981
Au Sr In
4 2 6
direct
0.1943 0.3887 0.6866
0.8057 0.6113 0.3134
0.5018 0.0037 0.1585
0.4982 0.9963 0.8415
0.1307 0.2614 0.1232
0.8693 0.7386 0.8768
0.0042 0.0084 0.3458
0.3287 0.6573 0.5308
0.6639 0.3278 0.8475
0.6713 0.3427 0.4692
0.9958 0.9916 0.6542
0.3361 0.6722 0.1525
```

Properties
- Energy: -38.191 eV per cell
- Formation energy: -0.441 eV/atom
- Crystal system: monoclinic
- Relative energy among the computed polymorphs: 0.014 eV/atom
- Density of states at the Fermi level: 5.65 states/eV per cell

=====

[2]
Compound: SrIn5Au4
Source: the Alexandria database
Functional: GGA-PBE
Structure: optimized geometry

Structure (POSCAR):
```
SrIn5Au4
1.0
4.4673 0.0000 -1.4180
0.3327 7.9129 1.0482
-0.0519 1.5064 7.5824
Au In Sr
4 5 1
direct
0.0339 0.2909 0.0678
0.7269 0.7567 0.4538
0.2731 0.2433 0.5462
0.9661 0.7091 0.9322
0.1679 0.6034 0.3358
0.8139 0.0223 0.6279
0.8321 0.3966 0.6642
0.5000 0.5000 0.0000
0.1861 0.9777 0.3721
0.5000 0.0000 0.0000
```

Properties
- Energy: -31.690 eV per cell
- Formation energy: -0.321 eV/atom
- Crystal system: monoclinic
- Density of states at the Fermi level: 3.15 states/eV per cell

=====

[3]
Compound: Sr3InAu4
Source: the Alexandria database
Functional: GGA-PBE
Structure: optimized geometry

Structure (POSCAR):
```
Sr3InAu4
1.0
4.4256 0.0000 0.0000
0.0000 6.9921 0.0000
-2.2128 -3.4961 7.8287
Sr In Au
3 1 4
direct
0.1903 0.1903 0.3806
0.0000 0.5000 0.0000
0.8097 0.8097 0.6194
0.5000 0.0000 0.0000
0.3782 0.1784 0.7563
0.6218 0.8216 0.2437
0.3782 0.5779 0.7563
0.6218 0.4221 0.2437
```

Properties
- Energy: -26.038 eV per cell
- Formation energy: -0.643 eV/atom
- Crystal system: orthorhombic
- Density of states at the Fermi level: 2.61 states/eV per cell

=====

[4]
Compound: Sr4In5Au2
Source: the Alexandria database
Functional: GGA-PBE
Structure: optimized geometry

Structure (POSCAR):
```
Sr4In5Au2
1.0
3.9170 0.0000 0.0000
0.0000 8.1078 0.0180
0.0000 -0.7607 10.4279
In Sr Au
5 4 2
direct
0.0000 0.5547 0.2969
0.0000 0.8021 0.8378
0.0000 0.5000 0.0000
0.0000 0.4453 0.7031
0.0000 0.1979 0.1622
0.5000 0.7492 0.5517
0.5000 0.1665 0.8705
0.5000 0.2508 0.4483
0.5000 0.8335 0.1295
0.0000 0.9386 0.3625
0.0000 0.0614 0.6375
```

Properties
- Energy: -32.313 eV per cell
- Formation energy: -0.485 eV/atom
- Crystal system: monoclinic
- Density of states at the Fermi level: 6.17 states/eV per cell

=====

[5]
Compound: Sr8InAu2
Source: the Alexandria database
Functional: GGA-PBE
Structure: optimized geometry

Structure (POSCAR):
```
Sr8InAu2
1.0
6.1183 0.1545 -0.9666
-1.9810 8.0433 -3.2491
0.1402 0.0313 8.8969
Sr Au In
8 2 1
direct
0.9997 0.2434 0.7622
0.5848 0.3288 0.0678
0.9997 0.7622 0.2434
0.4145 0.6771 0.9382
0.4145 0.9382 0.6771
0.5848 0.0678 0.3288
0.1940 0.3762 0.3762
0.8061 0.6306 0.6306
0.4998 0.6881 0.3180
0.4998 0.3180 0.6881
0.0019 0.0036 0.0036
```

Properties
- Energy: -26.615 eV per cell
- Formation energy: -0.352 eV/atom
- Crystal system: monoclinic
- Density of states at the Fermi level: 9.30 states/eV per cell

=====

[6]
Compound: SrIn6Au3
Source: the Alexandria database
Functional: GGA-PBE
Structure: optimized geometry

Structure (POSCAR):
```
SrIn6Au3
1.0
-3.3571 -3.2217 0.6932
4.3377 -2.6528 8.6780
-6.1152 7.3651 4.6144
In Sr Au
12 2 6
direct
0.2500 0.9094 0.5800
0.7500 0.6524 0.2167
0.7500 0.3755 0.0618
0.2500 0.6245 0.9382
0.7500 0.8644 0.0033
0.7500 0.7397 0.7178
0.2500 0.3476 0.7833
0.2500 0.1356 0.9967
0.7500 0.0906 0.4200
0.2500 0.2603 0.2822
0.2500 0.5909 0.4476
0.7500 0.4091 0.5524
0.2500 0.8932 0.2415
0.7500 0.1068 0.7585
0.7500 0.4913 0.8232
0.7500 0.1144 0.1542
0.2500 0.1998 0.5453
0.2500 0.5087 0.1768
0.2500 0.8856 0.8458
0.7500 0.8002 0.4547
```

Properties
- Energy: -62.377 eV per cell
- Formation energy: -0.324 eV/atom
- Crystal system: monoclinic
- Density of states at the Fermi level: 8.99 states/eV per cell

=====

[7]
Compound: SrIn2Au5
Source: the Alexandria database
Functional: GGA-PBE
Structure: optimized geometry

Structure (POSCAR):
```
SrIn2Au5
1.0
-2.6534 -3.4664 0.1841
0.8611 -3.7436 -6.2282
4.1969 -5.9845 -0.3448
Au In Sr
5 2 1
direct
0.6210 0.5801 0.1779
0.6210 0.1779 0.5801
0.3790 0.4199 0.8221
0.0000 0.5000 0.5000
0.3790 0.8221 0.4199
0.2383 0.2617 0.2617
0.7617 0.7383 0.7383
0.0000 0.0000 0.0000
```

Properties
- Energy: -26.573 eV per cell
- Formation energy: -0.378 eV/atom
- Crystal system: orthorhombic
- Density of states at the Fermi level: 2.51 states/eV per cell

=====

[8]
Compound: Sr12In3Au5
Source: the Alexandria database
Functional: GGA-PBE
Structure: optimized geometry

Structure (POSCAR):
```
Sr12In3Au5
1.0
16.4907 0.0000 0.0000
-5.4969 15.5476 0.0000
-5.4969 -7.7738 13.4646
Sr Au In
48 20 12
direct
0.7176 0.5902 0.1737
0.6274 0.0439 0.2176
0.4165 0.0439 0.3263
0.3263 0.7824 0.4098
0.2176 0.5439 0.6274
0.9098 0.8263 0.7824
0.5902 0.8726 0.4165
0.8726 0.2824 0.4561
0.6274 0.5835 0.9098
0.4561 0.6737 0.0835
0.4165 0.3726 0.5902
0.9098 0.0835 0.6274
0.9561 0.3726 0.2824
0.0902 0.9165 0.3726
0.5902 0.7176 0.6737
0.4098 0.2824 0.3263
0.8263 0.9165 0.0439
0.2824 0.4098 0.8263
0.7824 0.4561 0.3726
0.6737 0.2176 0.5902
0.1737 0.0835 0.9561
0.4561 0.7824 0.8726
0.1274 0.7176 0.5439
0.1737 0.0902 0.7176
0.3263 0.5439 0.4165
0.0439 0.6274 0.7176
0.7824 0.3263 0.9098
0.8263 0.9098 0.2824
0.7176 0.1274 0.0439
0.0439 0.4165 0.8263
0.8726 0.5902 0.9165
0.0835 0.1737 0.4561
0.5835 0.9561 0.6737
0.0835 0.9098 0.1274
0.9561 0.5835 0.1737
0.2176 0.6737 0.0902
0.4098 0.1274 0.5835
0.2824 0.8726 0.9561
0.5439 0.2176 0.1274
0.6737 0.4561 0.5835
0.5439 0.3263 0.9165
0.9165 0.8263 0.5439
0.9165 0.0902 0.8726
0.1274 0.4098 0.0835
0.3726 0.4165 0.0902
0.5835 0.6274 0.4098
0.3726 0.9561 0.7824
0.0902 0.1737 0.2176
0.5000 0.5000 0.0000
0.1250 0.3750 0.2500
0.3750 0.1250 0.7500
0.6250 0.7500 0.8750
0.1250 0.7500 0.3750
0.0000 0.5000 0.5000
0.2500 0.3750 0.6250
0.6250 0.8750 0.2500
0.5000 0.0000 0.0000
0.8750 0.6250 0.7500
0.7500 0.1250 0.8750
0.5000 0.0000 0.5000
0.0000 0.5000 0.0000
0.5000 0.5000 0.5000
0.3750 0.2500 0.1250
0.7500 0.6250 0.3750
0.8750 0.2500 0.6250
0.2500 0.8750 0.1250
0.0000 0.0000 0.5000
0.0000 0.0000 0.0000
0.8750 0.1250 0.2500
0.1250 0.8750 0.7500
0.6250 0.3750 0.7500
0.2500 0.6250 0.8750
0.3750 0.6250 0.2500
0.3750 0.7500 0.6250
0.7500 0.3750 0.1250
0.7500 0.8750 0.6250
0.6250 0.2500 0.3750
0.2500 0.1250 0.3750
0.8750 0.7500 0.1250
0.1250 0.2500 0.8750
```

Properties
- Energy: -207.972 eV per cell
- Formation energy: -0.360 eV/atom
- Crystal system: cubic
- Density of states at the Fermi level: 62.65 states/eV per cell

=====

[9]
Compound: SrInAu6
Source: the Alexandria database
Functional: GGA-PBE
Structure: optimized geometry

Structure (POSCAR):
```
SrInAu6
1.0
-5.0528 1.6305 1.5437
-0.9273 -4.9774 2.2221
2.0449 1.7717 4.8220
Au Sr In
6 1 1
direct
0.0000 0.5000 0.2466
0.2466 0.0000 0.5000
0.7534 0.0000 0.5000
0.5000 0.2466 0.0000
0.0000 0.5000 0.7534
0.5000 0.7534 0.0000
0.5000 0.5000 0.5000
0.0000 0.0000 0.0000
```

Properties
- Energy: -25.824 eV per cell
- Formation energy: -0.217 eV/atom
- Crystal system: cubic
- Density of states at the Fermi level: 3.74 states/eV per cell

=====

[10]
Compound: Sr2ThInAu6
Source: the Alexandria database
Functional: GGA-PBE
Structure: optimized geometry

Structure (POSCAR):
```
Sr2ThInAu6
1.0
7.7376 -0.0004 0.0000
0.0005 7.7376 0.0000
3.8690 3.8686 5.4713
Au Sr Th In
6 2 1 1
direct
0.7560 0.7560 0.4880
0.2440 0.2440 0.0000
0.7560 0.7560 0.0000
0.7560 0.2440 0.0000
0.2440 0.7560 0.0000
0.2440 0.2440 0.5120
0.2500 0.7500 0.5000
0.7500 0.2500 0.5000
0.5000 0.5000 0.0000
0.0000 0.0000 0.0000
```

Properties
- Energy: -35.166 eV per cell
- Formation energy: -0.198 eV/atom
- Crystal system: cubic
- Density of states at the Fermi level: 5.18 states/eV per cell

=====

[11]
Compound: SrThInAu
Source: the Alexandria database
Functional: GGA-PBE
Structure: optimized geometry

Structure (POSCAR):
```
SrThInAu
1.0
-1.0357 -4.5400 2.8638
3.5600 -4.1482 -0.0708
2.9457 -1.1504 4.4593
Au Sr In Th
1 1 1 1
direct
0.7500 0.7500 0.7500
0.0000 0.0000 0.0000
0.2500 0.2500 0.2500
0.5000 0.5000 0.5000
```

Properties
- Energy: -16.600 eV per cell
- Formation energy: -0.371 eV/atom
- Crystal system: cubic
- Density of states at the Fermi level: 2.44 states/eV per cell

=====

[12]
Compound: SrTmInAu
Source: the Alexandria database
Functional: GGA-PBE
Structure: optimized geometry

Structure (POSCAR):
```
SrTmInAu
1.0
5.3554 0.0000 0.0000
2.6777 4.6379 0.0000
2.6777 1.5460 4.3726
Sr Au In Tm
1 1 1 1
direct
0.0000 0.0000 0.0000
0.2500 0.2500 0.2500
0.7500 0.7500 0.7500
0.5000 0.5000 0.5000
```

Properties
- Energy: -14.175 eV per cell
- Formation energy: -0.502 eV/atom
- Crystal system: cubic
- Density of states at the Fermi level: 3.56 states/eV per cell